# 1
First-principles (PBE) data for Ca3TlIn2 after structural relaxation, as listed in Alexandria.

Lattice parameters (Å, degrees): 5.468 16.469 3.854 90.00 90.00 90.00
Space group Cmmm (No. 65)
Inequivalent atoms, fractional coordinates:
Ca (0.000, 0.000, 0.000)
Ca (0.000, 0.333, 0.000)
Tl (0.000, 0.500, 0.500)
In (0.000, 0.168, 0.500)

crystal system = orthorhombic
density = 5.3 g cm⁻³
E_form = -0.460 eV per atom

# 2
First-principles (PBE) data for NpPaZn4 after structural relaxation, as listed in Alexandria.

Lattice parameters (Å, degrees): 7.623 7.623 7.623 90.00 90.00 90.00
Space group F-43m (No. 216)
Inequivalent atoms, fractional coordinates:
Np (0.000, 0.000, 0.000)
Pa (0.250, 0.250, 0.250)
Zn (0.125, 0.125, 0.625)

crystal system = cubic
density = 10.9 g cm⁻³
E_form = -0.006 eV per atom